KTh2S6 | PBE | relaxed

Computed properties:
The value obtained for the raw total energy is -6.088 eV per atom. The total magnetic moment is 0.00 Bohr magnetons per cell.

Unit cell a=11.1903 b=11.1903 c=11.1903 alpha=158.78 beta=152.98 gamma=34.61
Closest atoms and distances in Å follow each position.
Sites, in units of the cell vectors:
K  0.0000  0.0000  0.0000  8 S 3.32
S  0.2303  0.2303  0.0000  4 Th 2.85-2.86
S  0.7697  0.7697  0.0000  4 Th 2.85-2.86
S  0.6361  0.3963  0.2398  2 S 2.51-2.72
S  0.8434  0.6037  0.2398  2 S 2.51-2.72
S  0.1566  0.3963  0.7602  2 S 2.51-2.72
S  0.3639  0.6037  0.7602  2 S 2.51-2.72
Th  0.6770  0.1770  0.5000  8 S 2.85-2.88
Th  0.3230  0.8230  0.5000  8 S 2.85-2.88